(1)
First-principles (PBE) data for Ba4Li after structural relaxation, as listed in Alexandria via LeMat-Bulk.

Cell and atoms, written as CIF:
```
data_Ba4Li
_chemical_formula_sum 'Ba4 Li1'
_space_group_name_H-M_alt 'P 1'
_space_group_IT_number 1
_space_group_name_Hall 'P 1'
_cell_length_a 7.243
_cell_length_b 7.243
_cell_length_c 7.243
_cell_angle_alpha 109.47
_cell_angle_beta 109.47
_cell_angle_gamma 109.47
loop_
_atom_site_label
_atom_site_fract_x
_atom_site_fract_y
_atom_site_fract_z
Ba1 0.000 0.000 0.500
Ba2 0.000 0.500 0.000
Ba3 0.500 0.000 0.000
Ba4 0.500 0.500 0.500
Li1 0.000 0.000 0.000
```

Formation energy from the elements = 0.2438 eV per atom
Total magnetic moment = 0.00 μB/f.u.
Offset from the most stable computed form = 216 meV per atom
Density = 3.16 g/cm3


(2)
First-principles (PBE) data for BaRhSe2 after structural relaxation, as listed in Alexandria via LeMat-Bulk.

Cell and atoms, written as CIF:
```
data_BaRhSe2
_chemical_formula_sum 'Ba1 Rh1 Se2'
_space_group_name_H-M_alt 'P 1'
_space_group_IT_number 1
_space_group_name_Hall 'P 1'
_cell_length_a 5.139
_cell_length_b 5.139
_cell_length_c 5.139
_cell_angle_alpha 60.00
_cell_angle_beta 60.00
_cell_angle_gamma 60.00
loop_
_atom_site_label
_atom_site_fract_x
_atom_site_fract_y
_atom_site_fract_z
Ba1 0.000 0.000 0.000
Rh1 0.250 0.250 0.250
Se1 0.500 0.500 0.500
Se2 0.750 0.750 0.750
```

Total magnetic moment = 0.00 μB/f.u.
Offset from the most stable computed form = 911 meV per atom
Density = 6.89 g/cm3


(3)
First-principles (PBE) data for Lu2TlRh after structural relaxation, as listed in Alexandria via LeMat-Bulk.

Cell and atoms, written as CIF:
```
data_Lu2TlRh
_chemical_formula_sum 'Lu2 Tl1 Rh1'
_space_group_name_H-M_alt 'P 1'
_space_group_IT_number 1
_space_group_name_Hall 'P 1'
_cell_length_a 5.009
_cell_length_b 5.009
_cell_length_c 5.009
_cell_angle_alpha 60.00
_cell_angle_beta 60.00
_cell_angle_gamma 60.00
loop_
_atom_site_label
_atom_site_fract_x
_atom_site_fract_y
_atom_site_fract_z
Lu1 0.250 0.250 0.250
Lu2 0.750 0.750 0.750
Tl1 0.000 0.000 0.000
Rh1 0.500 0.500 0.500
```

Formation energy from the elements = -0.5326 eV per atom
Total magnetic moment = 0.00 μB/f.u.
Offset from the most stable computed form = 132 meV per atom
Density = 12.28 g/cm3


(4)
First-principles (PBE) data for Sr2Mg3AlIn4 after structural relaxation, as listed in Alexandria via LeMat-Bulk.

Cell and atoms, written as CIF:
```
data_Sr2Mg3AlIn4
_chemical_formula_sum 'Sr2 Mg3 Al1 In4'
_space_group_name_H-M_alt 'P 1'
_space_group_IT_number 1
_space_group_name_Hall 'P 1'
_cell_length_a 4.702
_cell_length_b 4.702
_cell_length_c 12.476
_cell_angle_alpha 90.00
_cell_angle_beta 90.00
_cell_angle_gamma 90.00
loop_
_atom_site_label
_atom_site_fract_x
_atom_site_fract_y
_atom_site_fract_z
Sr1 0.000 0.500 0.240
Sr2 0.500 0.000 0.760
Mg1 0.000 0.000 0.000
Mg2 0.000 0.500 0.642
Mg3 0.500 0.000 0.358
Al1 0.500 0.500 0.000
In1 0.000 0.000 0.500
In2 0.000 0.500 0.866
In3 0.500 0.000 0.134
In4 0.500 0.500 0.500
```

Formation energy from the elements = -0.2407 eV per atom
Total magnetic moment = 0.00 μB/f.u.
Density = 4.42 g/cm3


(5)
First-principles (PBE) data for Sm8InGe5 after structural relaxation, as listed in Alexandria via LeMat-Bulk.

Cell and atoms, written as CIF:
```
data_Sm8InGe5
_chemical_formula_sum 'Sm8 In1 Ge5'
_space_group_name_H-M_alt 'P 1'
_space_group_IT_number 1
_space_group_name_Hall 'P 1'
_cell_length_a 7.904
_cell_length_b 7.904
_cell_length_c 7.904
_cell_angle_alpha 109.37
_cell_angle_beta 109.37
_cell_angle_gamma 109.68
loop_
_atom_site_label
_atom_site_fract_x
_atom_site_fract_y
_atom_site_fract_z
Sm1 0.002 0.883 0.256
Sm2 0.114 0.374 0.607
Sm3 0.117 0.374 0.119
Sm4 0.255 0.998 0.881
Sm5 0.493 0.886 0.261
Sm6 0.626 0.232 0.739
Sm7 0.626 0.745 0.744
Sm8 0.768 0.507 0.393
In1 0.500 0.500 0.000
Ge1 0.250 0.750 0.500
Ge2 0.377 0.255 0.376
Ge3 0.745 0.121 0.121
Ge4 0.879 0.001 0.624
Ge5 0.999 0.623 0.879
```

Formation energy from the elements = -0.7353 eV per atom
Total magnetic moment = 0.00 μB/f.u.
Density = 7.34 g/cm3


(6)
First-principles (PBE) data for HgPtS2N after structural relaxation, as listed in Alexandria via LeMat-Bulk.

Cell and atoms, written as CIF:
```
data_HgPtS2N
_chemical_formula_sum 'Hg1 Pt1 S2 N1'
_space_group_name_H-M_alt 'P 1'
_space_group_IT_number 1
_space_group_name_Hall 'P 1'
_cell_length_a 5.042
_cell_length_b 5.042
_cell_length_c 3.687
_cell_angle_alpha 90.00
_cell_angle_beta 90.00
_cell_angle_gamma 90.00
loop_
_atom_site_label
_atom_site_fract_x
_atom_site_fract_y
_atom_site_fract_z
Hg1 0.000 0.000 0.000
Pt1 0.500 0.500 0.500
S1 0.000 0.500 0.500
S2 0.500 0.000 0.500
N1 0.500 0.500 0.000
```

Total magnetic moment = 0.00 μB/f.u.
Offset from the most stable computed form = 0 meV per atom
Density = 8.40 g/cm3


(7)
First-principles (PBE) data for NaTe2F2 after structural relaxation, as listed in Alexandria via LeMat-Bulk.

Cell and atoms, written as CIF:
```
data_NaTe2F2
_chemical_formula_sum 'Na2 Te4 F4'
_space_group_name_H-M_alt 'P 1'
_space_group_IT_number 1
_space_group_name_Hall 'P 1'
_cell_length_a 8.383
_cell_length_b 8.383
_cell_length_c 3.100
_cell_angle_alpha 90.00
_cell_angle_beta 90.00
_cell_angle_gamma 90.00
loop_
_atom_site_label
_atom_site_fract_x
_atom_site_fract_y
_atom_site_fract_z
Na1 0.000 0.000 0.000
Na2 0.500 0.500 0.000
Te1 0.118 0.382 0.000
Te2 0.382 0.882 0.000
Te3 0.618 0.118 0.000
Te4 0.882 0.618 0.000
F1 0.209 0.709 0.500
F2 0.291 0.209 0.500
F3 0.709 0.791 0.500
F4 0.791 0.291 0.500
```

Total magnetic moment = 0.00 μB/f.u.
Offset from the most stable computed form = 38 meV per atom
Density = 4.82 g/cm3


(8)
First-principles (PBE) data for LaNb2Ge2 after structural relaxation, as listed in Alexandria via LeMat-Bulk.

Cell and atoms, written as CIF:
```
data_LaNb2Ge2
_chemical_formula_sum 'La2 Nb4 Ge4'
_space_group_name_H-M_alt 'P 1'
_space_group_IT_number 1
_space_group_name_Hall 'P 1'
_cell_length_a 7.602
_cell_length_b 7.602
_cell_length_c 3.467
_cell_angle_alpha 90.00
_cell_angle_beta 90.00
_cell_angle_gamma 90.00
loop_
_atom_site_label
_atom_site_fract_x
_atom_site_fract_y
_atom_site_fract_z
La1 0.000 0.000 0.000
La2 0.500 0.500 0.000
Nb1 0.157 0.343 0.500
Nb2 0.343 0.843 0.500
Nb3 0.657 0.157 0.500
Nb4 0.843 0.657 0.500
Ge1 0.128 0.628 0.000
Ge2 0.372 0.128 0.000
Ge3 0.628 0.872 0.000
Ge4 0.872 0.372 0.000
```

Formation energy from the elements = -0.2742 eV per atom
Total magnetic moment = 0.00 μB/f.u.
Offset from the most stable computed form = 342 meV per atom
Density = 7.79 g/cm3